Entry 1:
{"formula": "La2Zn3Ga4Sn", "functional": "PBE", "state": "relaxed", "vol_a3_per_cell": 210.7, "magmom_total_mub_per_atom": 0.000, "space_group": "No. 115", "dos_ef_per_ev_fu": 3.0, "final_energy_ev_per_atom": -3.443, "lattice_angstrom": [[4.420, 0.000, 0.000], [0.000, 4.420, 0.000], [0.000, 0.000, 10.788]], "species": ["La", "La", "Zn", "Zn", "Zn", "Ga", "Ga", "Ga", "Ga", "Sn"], "fractional_positions": [[0.000, 0.500, 0.240], [0.500, 0.000, 0.760], [0.000, 0.500, 0.876], [0.500, 0.000, 0.124], [0.500, 0.500, 0.500], [0.000, 0.000, 0.000], [0.000, 0.500, 0.649], [0.500, 0.000, 0.351], [0.500, 0.500, 0.000], [0.000, 0.000, 0.500]]}

---

Entry 2:
{"formula": "La2Zn4Ga3Sn", "functional": "PBE", "state": "relaxed", "vol_a3_per_cell": 208.5, "magmom_total_mub_per_atom": 0.000, "space_group": "No. 115", "dos_ef_per_ev_fu": 2.1, "final_energy_ev_per_atom": -3.290, "lattice_angstrom": [[4.400, 0.000, 0.000], [0.000, 4.400, 0.000], [0.000, 0.000, 10.768]], "species": ["La", "La", "Zn", "Zn", "Zn", "Zn", "Ga", "Ga", "Ga", "Sn"], "fractional_positions": [[0.000, 0.500, 0.238], [0.500, 0.000, 0.762], [0.000, 0.000, 0.000], [0.000, 0.500, 0.646], [0.500, 0.000, 0.354], [0.500, 0.500, 0.000], [0.000, 0.500, 0.874], [0.500, 0.000, 0.126], [0.500, 0.500, 0.500], [0.000, 0.000, 0.500]]}

---

Entry 3:
{"formula": "SrLa2Ga", "functional": "PBE", "state": "relaxed", "vol_a3_per_cell": 152.9, "magmom_total_mub_per_atom": 0.000, "space_group": "No. 166", "dos_ef_per_ev_fu": 6.2, "final_energy_ev_per_atom": -3.754, "lattice_angstrom": [[1.969, 1.137, 11.380], [-1.969, 1.137, 11.380], [0.000, -2.274, 11.380]], "species": ["Sr", "La", "La", "Ga"], "fractional_positions": [[0.000, 0.000, 0.000], [0.229, 0.229, 0.229], [0.771, 0.771, 0.771], [0.500, 0.500, 0.500]]}

---

Entry 4:
{"formula": "Sr3LaGa", "functional": "PBE", "state": "relaxed", "vol_a3_per_cell": 232.7, "magmom_total_mub_per_atom": 0.000, "space_group": "No. 221", "dos_ef_per_ev_fu": 9.1, "final_energy_ev_per_atom": -2.470, "lattice_angstrom": [[6.150, 0.000, 0.000], [0.000, 6.150, 0.000], [0.000, 0.000, 6.150]], "species": ["Sr", "Sr", "Sr", "La", "Ga"], "fractional_positions": [[0.000, 0.000, 0.500], [0.000, 0.500, 0.000], [0.500, 0.000, 0.000], [0.500, 0.500, 0.500], [0.000, 0.000, 0.000]]}

---

Entry 5:
{"formula": "SrLa2Ga", "functional": "PBE", "state": "relaxed", "vol_a3_per_cell": 146.8, "magmom_total_mub_per_atom": 0.088, "space_group": "No. 123", "dos_ef_per_ev_fu": 5.7, "final_energy_ev_per_atom": -3.849, "lattice_angstrom": [[3.850, 0.000, 0.000], [0.000, 3.850, 0.000], [0.000, 0.000, 9.907]], "species": ["Sr", "La", "La", "Ga"], "fractional_positions": [[0.000, 0.000, 0.000], [0.500, 0.500, 0.327], [0.500, 0.500, 0.673], [0.000, 0.000, 0.500]]}

---

Entry 6:
{"formula": "SrLa3Ga2", "functional": "PBE", "state": "relaxed", "vol_a3_per_cell": 383.1, "magmom_total_mub_per_atom": 0.000, "space_group": "No. 26", "dos_ef_per_ev_fu": 5.4, "final_energy_ev_per_atom": -4.121, "lattice_angstrom": [[5.097, 0.000, 0.000], [0.000, 9.330, 0.000], [0.000, 0.000, 8.056]], "species": ["Sr", "Sr", "La", "La", "La", "La", "La", "La", "Ga", "Ga", "Ga", "Ga"], "fractional_positions": [[0.000, 0.071, 0.000], [0.000, 0.929, 0.500], [0.000, 0.335, 0.633], [0.000, 0.665, 0.133], [0.500, 0.172, 0.327], [0.500, 0.432, 0.958], [0.500, 0.568, 0.458], [0.500, 0.828, 0.827], [0.000, 0.355, 0.243], [0.000, 0.645, 0.743], [0.500, 0.152, 0.719], [0.500, 0.848, 0.219]]}

---

Entry 7:
{"formula": "SrLaGa3", "functional": "PBE", "state": "relaxed", "vol_a3_per_cell": 269.4, "magmom_total_mub_per_atom": 0.000, "space_group": "No. 63", "dos_ef_per_ev_fu": 2.9, "final_energy_ev_per_atom": -3.721, "lattice_angstrom": [[2.247, -13.751, 0.000], [2.247, 13.751, 0.000], [0.000, 0.000, 4.359]], "species": ["Sr", "Sr", "La", "La", "Ga", "Ga", "Ga", "Ga", "Ga", "Ga"], "fractional_positions": [[0.201, 0.799, 0.750], [0.799, 0.201, 0.250], [0.068, 0.932, 0.250], [0.932, 0.068, 0.750], [0.337, 0.663, 0.750], [0.386, 0.614, 0.250], [0.477, 0.523, 0.250], [0.523, 0.477, 0.750], [0.614, 0.386, 0.750], [0.663, 0.337, 0.250]]}

---

Entry 8:
{"formula": "SrLaGa3", "functional": "PBE", "state": "relaxed", "vol_a3_per_cell": 180.4, "magmom_total_mub_per_atom": 0.000, "space_group": "No. 221", "dos_ef_per_ev_fu": 4.4, "final_energy_ev_per_atom": -2.903, "lattice_angstrom": [[5.651, 0.000, 0.000], [0.000, 5.651, 0.000], [0.000, 0.000, 5.651]], "species": ["Sr", "La", "Ga", "Ga", "Ga"], "fractional_positions": [[0.000, 0.000, 0.000], [0.500, 0.500, 0.500], [0.000, 0.500, 0.500], [0.500, 0.000, 0.500], [0.500, 0.500, 0.000]]}

---

Entry 9:
{"formula": "Sr2La2Ga", "functional": "PBE", "state": "relaxed", "vol_a3_per_cell": 401.2, "magmom_total_mub_per_atom": 0.274, "space_group": "No. 127", "dos_ef_per_ev_fu": 10.5, "final_energy_ev_per_atom": -3.178, "lattice_angstrom": [[8.030, 0.000, 0.000], [0.000, 8.030, 0.000], [0.000, 0.000, 6.221]], "species": ["Sr", "Sr", "Sr", "Sr", "La", "La", "La", "La", "Ga", "Ga"], "fractional_positions": [[0.175, 0.325, 0.000], [0.325, 0.825, 0.000], [0.675, 0.175, 0.000], [0.825, 0.675, 0.000], [0.134, 0.634, 0.500], [0.366, 0.134, 0.500], [0.634, 0.866, 0.500], [0.866, 0.366, 0.500], [0.000, 0.000, 0.500], [0.500, 0.500, 0.500]]}

---

Entry 10:
{"formula": "SrLa2Ga4", "functional": "PBE", "state": "relaxed", "vol_a3_per_cell": 190.3, "magmom_total_mub_per_atom": 0.000, "space_group": "No. 71", "dos_ef_per_ev_fu": 5.2, "final_energy_ev_per_atom": -3.926, "lattice_angstrom": [[-2.153, 2.323, 9.518], [2.153, -2.323, 9.518], [2.153, 2.323, -9.518]], "species": ["Sr", "La", "La", "Ga", "Ga", "Ga", "Ga"], "fractional_positions": [[0.000, 0.000, 0.000], [0.184, 0.684, 0.500], [0.816, 0.316, 0.500], [0.357, 0.857, 0.500], [0.434, 0.434, 0.000], [0.566, 0.566, 0.000], [0.643, 0.143, 0.500]]}

---

Entry 11:
{"formula": "SrLaGa3", "functional": "PBE", "state": "relaxed", "vol_a3_per_cell": 171.7, "magmom_total_mub_per_atom": 0.000, "space_group": "No. 221", "dos_ef_per_ev_fu": 3.3, "final_energy_ev_per_atom": -2.685, "lattice_angstrom": [[5.558, 0.000, 0.000], [0.000, 5.558, 0.000], [0.000, 0.000, 5.558]], "species": ["Sr", "La", "Ga", "Ga", "Ga"], "fractional_positions": [[0.000, 0.000, 0.000], [0.500, 0.500, 0.500], [0.000, 0.000, 0.500], [0.000, 0.500, 0.000], [0.500, 0.000, 0.000]]}

---

Entry 12:
{"formula": "Sr2LaGa4", "functional": "PBE", "state": "relaxed", "vol_a3_per_cell": 197.8, "magmom_total_mub_per_atom": 0.000, "space_group": "No. 71", "dos_ef_per_ev_fu": 6.1, "final_energy_ev_per_atom": -3.442, "lattice_angstrom": [[-2.189, 2.273, 9.934], [2.189, -2.273, 9.934], [2.189, 2.273, -9.934]], "species": ["Sr", "Sr", "La", "Ga", "Ga", "Ga", "Ga"], "fractional_positions": [[0.183, 0.183, 0.000], [0.817, 0.817, 0.000], [0.000, 0.500, 0.500], [0.369, 0.369, 0.000], [0.437, 0.937, 0.500], [0.563, 0.063, 0.500], [0.631, 0.631, 0.000]]}

---

Entry 13:
{"formula": "SrLa3Ga", "functional": "PBE", "state": "relaxed", "vol_a3_per_cell": 221.3, "magmom_total_mub_per_atom": 0.000, "space_group": "No. 221", "dos_ef_per_ev_fu": 8.9, "final_energy_ev_per_atom": -3.883, "lattice_angstrom": [[6.049, 0.000, 0.000], [0.000, 6.049, 0.000], [0.000, 0.000, 6.049]], "species": ["Sr", "La", "La", "La", "Ga"], "fractional_positions": [[0.000, 0.000, 0.000], [0.000, 0.500, 0.500], [0.500, 0.000, 0.500], [0.500, 0.500, 0.000], [0.500, 0.500, 0.500]]}

---

Entry 14:
{"formula": "SrLa2Ga", "functional": "PBE", "state": "relaxed", "vol_a3_per_cell": 163.0, "magmom_total_mub_per_atom": 0.091, "space_group": "No. 160", "dos_ef_per_ev_fu": 5.0, "final_energy_ev_per_atom": -3.687, "lattice_angstrom": [[2.396, 1.383, 8.197], [-2.396, 1.383, 8.197], [0.000, -2.767, 8.197]], "species": ["Sr", "La", "La", "Ga"], "fractional_positions": [[0.000, 0.000, 0.000], [0.220, 0.220, 0.220], [0.446, 0.446, 0.446], [0.835, 0.835, 0.835]]}

---

Entry 15:
{"formula": "Sr2LaGa6", "functional": "PBE", "state": "relaxed", "vol_a3_per_cell": 230.5, "magmom_total_mub_per_atom": 0.025, "space_group": "No. 71", "dos_ef_per_ev_fu": 5.1, "final_energy_ev_per_atom": -3.235, "lattice_angstrom": [[-1.753, 5.060, 6.494], [1.753, -5.060, 6.494], [1.753, 5.060, -6.494]], "species": ["Sr", "Sr", "La", "Ga", "Ga", "Ga", "Ga", "Ga", "Ga"], "fractional_positions": [[0.138, 0.138, 0.000], [0.862, 0.862, 0.000], [0.500, 0.000, 0.500], [0.124, 0.321, 0.803], [0.206, 0.500, 0.706], [0.482, 0.679, 0.803], [0.518, 0.321, 0.197], [0.794, 0.500, 0.294], [0.876, 0.679, 0.197]]}

---

Entry 16:
{"formula": "SrLa2TaGa", "functional": "PBE", "state": "relaxed", "vol_a3_per_cell": 165.2, "magmom_total_mub_per_atom": 0.000, "space_group": "No. 123", "dos_ef_per_ev_fu": 11.2, "final_energy_ev_per_atom": -3.570, "lattice_angstrom": [[5.602, 0.000, 0.000], [0.000, 5.602, 0.000], [0.000, 0.000, 5.266]], "species": ["Sr", "La", "La", "Ta", "Ga"], "fractional_positions": [[0.000, 0.000, 0.000], [0.000, 0.500, 0.000], [0.500, 0.000, 0.000], [0.500, 0.500, 0.500], [0.000, 0.000, 0.500]]}

---

Entry 17:
{"formula": "SrLa2GaTc", "functional": "PBE", "state": "relaxed", "vol_a3_per_cell": 155.7, "magmom_total_mub_per_atom": 0.000, "space_group": "No. 123", "dos_ef_per_ev_fu": 3.0, "final_energy_ev_per_atom": -5.061, "lattice_angstrom": [[5.451, 0.000, 0.000], [0.000, 5.451, 0.000], [0.000, 0.000, 5.239]], "species": ["Sr", "La", "La", "Ga", "Tc"], "fractional_positions": [[0.000, 0.000, 0.000], [0.000, 0.500, 0.500], [0.500, 0.000, 0.500], [0.500, 0.500, 0.000], [0.500, 0.500, 0.500]]}

---

Entry 18:
{"formula": "SrLaGaTe2", "functional": "PBE", "state": "relaxed", "vol_a3_per_cell": 211.7, "e_form_raw_ev_per_atom": -0.5861, "magmom_total_mub_per_atom": 0.000, "space_group": "No. 123", "dos_ef_per_ev_fu": 4.9, "final_energy_ev_per_atom": -3.770, "lattice_angstrom": [[6.134, 0.000, 0.000], [0.000, 6.134, 0.000], [0.000, 0.000, 5.626]], "species": ["Sr", "La", "Ga", "Te", "Te"], "fractional_positions": [[0.000, 0.000, 0.000], [0.500, 0.500, 0.500], [0.500, 0.500, 0.000], [0.000, 0.500, 0.500], [0.500, 0.000, 0.500]]}

---

Entry 19:
{"formula": "Sr2LaGaTe", "functional": "PBE", "state": "relaxed", "vol_a3_per_cell": 226.7, "e_form_raw_ev_per_atom": -0.2522, "magmom_total_mub_per_atom": 0.000, "space_group": "No. 123", "dos_ef_per_ev_fu": 6.0, "final_energy_ev_per_atom": -3.144, "lattice_angstrom": [[6.109, 0.000, 0.000], [0.000, 6.109, 0.000], [0.000, 0.000, 6.075]], "species": ["Sr", "Sr", "La", "Ga", "Te"], "fractional_positions": [[0.000, 0.500, 0.000], [0.500, 0.000, 0.000], [0.000, 0.000, 0.500], [0.500, 0.500, 0.500], [0.000, 0.000, 0.000]]}

---

Entry 20:
{"formula": "SrLaZnGa", "functional": "PBE", "state": "relaxed", "vol_a3_per_cell": 112.4, "magmom_total_mub_per_atom": 0.000, "space_group": "No. 216", "dos_ef_per_ev_fu": 2.5, "final_energy_ev_per_atom": -3.085, "lattice_angstrom": [[0.000, 3.830, 3.830], [3.830, 0.000, 3.830], [3.830, 3.830, 0.000]], "species": ["Sr", "La", "Zn", "Ga"], "fractional_positions": [[0.000, 0.000, 0.000], [0.500, 0.500, 0.500], [0.250, 0.250, 0.250], [0.750, 0.750, 0.750]]}

---

Entry 21:
{"formula": "LaTaGa3", "functional": "PBE", "state": "relaxed", "vol_a3_per_cell": 149.7, "magmom_total_mub_per_atom": 0.000, "space_group": "No. 221", "dos_ef_per_ev_fu": 7.0, "final_energy_ev_per_atom": -3.483, "lattice_angstrom": [[5.309, 0.000, 0.000], [0.000, 5.309, 0.000], [0.000, 0.000, 5.309]], "species": ["La", "Ta", "Ga", "Ga", "Ga"], "fractional_positions": [[0.000, 0.000, 0.000], [0.500, 0.500, 0.500], [0.000, 0.000, 0.500], [0.000, 0.500, 0.000], [0.500, 0.000, 0.000]]}

---

Entry 22:
{"formula": "LaTa3Ga", "functional": "PBE", "state": "relaxed", "vol_a3_per_cell": 120.6, "magmom_total_mub_per_atom": 0.000, "space_group": "No. 221", "dos_ef_per_ev_fu": 6.0, "final_energy_ev_per_atom": -6.453, "lattice_angstrom": [[4.940, 0.000, 0.000], [0.000, 4.940, 0.000], [0.000, 0.000, 4.940]], "species": ["La", "Ta", "Ta", "Ta", "Ga"], "fractional_positions": [[0.000, 0.000, 0.000], [0.000, 0.000, 0.500], [0.000, 0.500, 0.000], [0.500, 0.000, 0.000], [0.500, 0.500, 0.500]]}

---

Entry 23:
{"formula": "LaTa3Ga", "functional": "PBE", "state": "relaxed", "vol_a3_per_cell": 119.0, "magmom_total_mub_per_atom": 0.000, "space_group": "No. 221", "dos_ef_per_ev_fu": 7.4, "final_energy_ev_per_atom": -7.680, "lattice_angstrom": [[4.919, 0.000, 0.000], [0.000, 4.919, 0.000], [0.000, 0.000, 4.919]], "species": ["La", "Ta", "Ta", "Ta", "Ga"], "fractional_positions": [[0.000, 0.000, 0.000], [0.000, 0.500, 0.500], [0.500, 0.000, 0.500], [0.500, 0.500, 0.000], [0.500, 0.500, 0.500]]}

---

Entry 24:
{"formula": "La2TaGa", "functional": "PBE", "state": "relaxed", "vol_a3_per_cell": 210.7, "magmom_total_mub_per_atom": 0.000, "space_group": "No. 122", "dos_ef_per_ev_fu": 5.5, "final_energy_ev_per_atom": -5.728, "lattice_angstrom": [[-4.205, 4.205, 2.979], [4.205, -4.205, 2.979], [4.205, 4.205, -2.979]], "species": ["La", "La", "La", "La", "Ta", "Ta", "Ga", "Ga"], "fractional_positions": [[0.118, 0.125, 0.493], [0.375, 0.882, 0.007], [0.632, 0.625, 0.507], [0.875, 0.368, 0.993], [0.250, 0.750, 0.500], [0.500, 0.500, 0.000], [0.000, 0.000, 0.000], [0.750, 0.250, 0.500]]}

---

Entry 25:
{"formula": "LaTaGa", "functional": "PBE", "state": "relaxed", "vol_a3_per_cell": 147.2, "magmom_total_mub_per_atom": 0.000, "space_group": "No. 129", "dos_ef_per_ev_fu": 3.0, "final_energy_ev_per_atom": -6.850, "lattice_angstrom": [[4.105, 0.000, 0.000], [0.000, 4.105, 0.000], [0.000, 0.000, 8.735]], "species": ["La", "La", "Ta", "Ta", "Ga", "Ga"], "fractional_positions": [[0.250, 0.250, 0.163], [0.750, 0.750, 0.837], [0.250, 0.750, 0.500], [0.750, 0.250, 0.500], [0.250, 0.250, 0.719], [0.750, 0.750, 0.281]]}

---

Entry 26:
{"formula": "La2TaTlGa", "functional": "PBE", "state": "relaxed", "vol_a3_per_cell": 161.2, "magmom_total_mub_per_atom": 0.000, "space_group": "No. 123", "dos_ef_per_ev_fu": 5.0, "final_energy_ev_per_atom": -5.126, "lattice_angstrom": [[5.582, 0.000, 0.000], [0.000, 5.582, 0.000], [0.000, 0.000, 5.174]], "species": ["La", "La", "Ta", "Tl", "Ga"], "fractional_positions": [[0.000, 0.500, 0.000], [0.500, 0.000, 0.000], [0.000, 0.000, 0.000], [0.500, 0.500, 0.500], [0.000, 0.000, 0.500]]}